1.
## SbTe2SeCl (meta-GGA SCAN)

Data for a crystal of SbTe2SeCl relaxed with PBEsol.

The value obtained for the spin magnetization is 0.00 μB per cell. Its space group is P4/mmm. For the density of states at the Fermi level, the calculation gives 5.49 states/eV/f.u. The value obtained for the raw formation energy is 1.032 eV/atom. Its uncorrected energy is -26.9322 eV per atom.

POSCAR file:
```
SbTe2SeCl
1.0
5.164 0.000 0.000
0.000 5.164 0.000
0.000 0.000 5.436
Sb Te Se Cl
1 2 1 1
direct
0.000 0.000 0.000
0.000 0.500 0.500
0.500 0.000 0.500
0.500 0.500 0.000
0.000 0.000 0.500
```


2.
## SiSbCl2 (meta-GGA SCAN)

Data for a crystal of SiSbCl2 relaxed with PBEsol.

The value obtained for the spin magnetization is 0.00 μB per cell. Its space group is Cmm2. For the density of states at the Fermi level, the calculation gives 1.12 states/eV/f.u. The value obtained for the raw formation energy is 0.026 eV/atom. Its uncorrected energy is -15.7817 eV per atom.

POSCAR file:
```
SiSbCl2
1.0
3.177 0.000 0.000
0.000 5.754 0.000
0.000 0.000 9.659
Si Sb Cl
2 2 4
direct
0.000 0.000 0.000
0.500 0.500 0.000
0.000 0.500 0.731
0.500 0.000 0.731
0.000 0.000 0.509
0.000 0.500 0.185
0.500 0.000 0.185
0.500 0.500 0.509
```


Question: Look up the uncorrected energy of the second one.
Answer: -15.7817 eV per atom


Question: What is the spin magnetization in the first record?
Answer: 0.00 μB per cell


Question: What is the spin magnetization in the second record?
Answer: 0.00 μB per cell


Question: Which of these has the highest uncorrected energy?
Answer: SiSbCl2